(1)
Computed, not measured: a relaxed structure of MgZn2Tc at the GGA-PBE level of DFT.

a b c (Å): 2.7365 4.0721 5.5298
angles (deg): 90.00 90.00 90.00
Closest atoms and distances in Å follow each position.
Space group Pmmm (No. 47)
One atom of each set of equivalent atoms:
1 Mg 0.0000 0.0000 0.0000 x1  2 Mg 2.74, 2 Tc 2.76, 8 Zn 2.87
2 Zn 0.5000 0.5000 0.2694 x2  3 Zn 2.55-2.74, 4 Tc 2.76
3 Tc 0.0000 0.0000 0.5000 x1  2 Tc 2.74, 8 Zn 2.76, 2 Mg 2.76

Computed properties:
**ΔH_f (0 K)**: 0.061 eV per atom



(2)
Computed, not measured: a relaxed structure of MgZnTc at the GGA-PBE level of DFT.

a b c (Å): 2.7165 2.7165 12.8513
angles (deg): 90.00 90.00 90.00
Closest atoms and distances in Å follow each position.
Space group I4mm (No. 107)
One atom of each set of equivalent atoms:
1 Mg 0.0000 0.0000 0.0000 x2  4 Mg 2.72, 4 Tc 2.89, 4 Zn 2.97
2 Zn 0.0000 0.0000 0.6762 x2  4 Zn 2.72, 4 Tc 2.77, 4 Mg 2.97
3 Tc 0.0000 0.0000 0.3315 x2  4 Tc 2.72, 4 Zn 2.77, 4 Mg 2.89

Computed properties:
**ΔH_f (0 K)**: 0.168 eV per atom



(3)
Computed, not measured: a relaxed structure of MgZn2Tc at the GGA-PBE level of DFT.

a b c (Å): 2.7393 4.1169 5.4873
angles (deg): 90.00 90.00 90.00
Closest atoms and distances in Å follow each position.
Space group Pmm2 (No. 25)
One atom of each set of equivalent atoms:
1 Mg 0.0000 0.0000 0.0000 x1  6 Zn 2.63-2.86, 2 Mg 2.74, 4 Tc 2.83
2 Zn 0.0000 0.0000 0.4791 x1  2 Mg 2.63-2.86, 6 Zn 2.74-2.87, 4 Tc 2.77
3 Zn 0.5000 0.5000 0.7440 x1  2 Tc 2.70-2.79, 6 Zn 2.74-2.87, 4 Mg 2.84
4 Tc 0.5000 0.5000 0.2526 x1  6 Zn 2.70-2.79, 2 Tc 2.74, 4 Mg 2.83

Computed properties:
**ΔH_f (0 K)**: 0.110 eV per atom



(4)
Computed, not measured: a relaxed structure of MgZn4Tc at the GGA-PBE level of DFT.

a b c (Å): 7.1048 7.1048 7.1048
angles (deg): 90.00 90.00 90.00
Closest atoms and distances in Å follow each position.
Space group F-43m (No. 216)
One atom of each set of equivalent atoms:
1 Mg 0.0000 0.0000 0.0000 x4  12 Zn 2.95, 4 Tc 3.08
2 Zn 0.1240 0.1240 0.3760 x16  6 Zn 2.49-2.53
3 Tc 0.2500 0.2500 0.7500 x4  12 Zn 2.94, 4 Mg 3.08

Computed properties:
**ΔH_f (0 K)**: 0.082 eV per atom



(5)
Computed, not measured: a relaxed structure of Mg3ZnTc at the GGA-PBE level of DFT.

a b c (Å): 5.0114 5.0114 5.0114
angles (deg): 90.00 90.00 90.00
Closest atoms and distances in Å follow each position.
Space group Pm-3m (No. 221)
One atom of each set of equivalent atoms:
1 Mg 0.0000 0.0000 0.5000 x3  2 Tc 2.51
2 Zn 0.5000 0.5000 0.5000 x1  12 Mg 3.54
3 Tc 0.0000 0.0000 0.0000 x1  6 Mg 2.51

Computed properties:
**ΔH_f (0 K)**: 0.855 eV per atom



(6)
Computed, not measured: a relaxed structure of Mg2Zn2Tc at the GGA-PBE level of DFT.

a b c (Å): 7.3678 7.3678 2.9630
angles (deg): 90.00 90.00 90.00
Closest atoms and distances in Å follow each position.
Space group P4/mbm (No. 127)
One atom of each set of equivalent atoms:
1 Mg 0.1771 0.3229 0.0000 x4  6 Zn 2.55-2.70
2 Zn 0.1239 0.6239 0.5000 x4  6 Mg 2.55-2.70, 1 Zn 2.58
3 Tc 0.0000 0.0000 0.5000 x2  4 Zn 2.92, 2 Tc 2.96, 8 Mg 3.09

Computed properties:
**ΔH_f (0 K)**: 0.187 eV per atom



(7)
Computed, not measured: a relaxed structure of MgZr5Tc4 at the GGA-PBE level of DFT.

a b c (Å): 3.3208 3.3208 17.1468
angles (deg): 90.00 90.00 90.00
Closest atoms and distances in Å follow each position.
Space group P4/mmm (No. 123)
One atom of each set of equivalent atoms:
1 Mg 0.0000 0.0000 0.0000 x1  8 Zr 3.15, 4 Mg 3.32
2 Zr 0.5000 0.5000 0.1227 x2  4 Tc 2.77
3 Zr 0.5000 0.5000 0.3097 x2  8 Tc 2.85-2.92
4 Zr 0.5000 0.5000 0.5000 x1  8 Tc 2.87
5 Tc 0.0000 0.0000 0.2087 x2  8 Zr 2.77-2.92
6 Tc 0.0000 0.0000 0.4037 x2  8 Zr 2.85-2.87

Computed properties:
**ΔH_f (0 K)**: -0.295 eV per atom



(8)
Computed, not measured: a relaxed structure of MgZrTc at the GGA-PBE level of DFT.

a b c (Å): 3.4052 4.9375 13.7910
angles (deg): 90.00 90.00 90.00
Closest atoms and distances in Å follow each position.
Space group Fmm2 (No. 42)
One atom of each set of equivalent atoms:
1 Mg 0.0000 0.0000 0.0000 x4  2 Tc 2.76, 4 Mg 3.00
2 Zr 0.0000 0.0000 0.3020 x4  2 Tc 2.62
3 Tc 0.0000 0.0000 0.6579 x4  2 Zr 2.62, 2 Mg 2.76

Computed properties:
**ΔH_f (0 K)**: 0.088 eV per atom



(9)
Computed, not measured: a relaxed structure of MgZr2Tc at the GGA-PBE level of DFT.

a b c (Å): 3.2545 3.2545 27.7461
angles (deg): 90.00 90.00 120.00
Closest atoms and distances in Å follow each position.
Space group R-3m (No. 166, hexagonal axes)
One atom of each set of equivalent atoms:
1 Mg 0.0000 0.0000 0.0000 x3  6 Zr 3.25, 6 Mg 3.25
2 Zr 0.0000 0.0000 0.2380 x6  3 Tc 2.73
3 Tc 0.0000 0.0000 0.5000 x3  6 Zr 2.73

Computed properties:
**ΔH_f (0 K)**: 0.004 eV per atom



(10)
Computed, not measured: a relaxed structure of MgZr2Tc at the GGA-PBE level of DFT.

a b c (Å): 3.6021 5.0143 8.9865
angles (deg): 90.00 90.00 90.00
Closest atoms and distances in Å follow each position.
Space group Immm (No. 71)
One atom of each set of equivalent atoms:
1 Mg 0.0000 0.0000 0.0000 x2  4 Tc 3.09, 8 Zr 3.15
2 Zr 0.0000 0.5000 0.2130 x4  2 Tc 2.63
3 Tc 0.0000 0.0000 0.5000 x2  4 Zr 2.63

Computed properties:
**ΔH_f (0 K)**: -0.074 eV per atom



(11)
Computed, not measured: a relaxed structure of MgZr2Tc at the GGA-PBE level of DFT.

a b c (Å): 3.4601 5.0657 9.4362
angles (deg): 90.00 90.00 90.00
Closest atoms and distances in Å follow each position.
Space group Cmmm (No. 65)
One atom of each set of equivalent atoms:
1 Mg 0.0000 0.0000 0.0000 x2  4 Mg 3.07, 4 Zr 3.20
2 Zr 0.0000 0.5000 0.2854 x4  2 Tc 2.66
3 Tc 0.0000 0.0000 0.5000 x2  4 Zr 2.66

Computed properties:
**ΔH_f (0 K)**: -0.065 eV per atom



(12)
Computed, not measured: a relaxed structure of Mg2ZrTc at the GGA-PBE level of DFT.

a b c (Å): 6.6507 6.6507 6.6507
angles (deg): 90.00 90.00 90.00
Closest atoms and distances in Å follow each position.
Space group Fm-3m (No. 225)
One atom of each set of equivalent atoms:
1 Mg 0.2500 0.2500 0.2500 x8  4 Zr 2.88, 4 Tc 2.88
2 Zr 0.0000 0.0000 0.0000 x4  8 Mg 2.88
3 Tc 0.0000 0.0000 0.5000 x4  8 Mg 2.88

Computed properties:
**ΔH_f (0 K)**: 0.307 eV per atom



(13)
Computed, not measured: a relaxed structure of Mg2ZrTc at the GGA-PBE level of DFT.

a b c (Å): 3.9115 3.9115 21.0229
angles (deg): 90.00 90.00 90.00
Closest atoms and distances in Å follow each position.
Space group I-42d (No. 122)
One atom of each set of equivalent atoms:
1 Mg 0.2346 0.2500 0.1250 x8  4 Mg 2.68-2.85, 2 Tc 2.95, 2 Zr 2.99
2 Zr 0.0000 0.0000 0.5000 x4  4 Tc 2.77, 4 Mg 2.99
3 Tc 0.0000 0.0000 0.0000 x4  4 Zr 2.77, 4 Mg 2.95

Computed properties:
**ΔH_f (0 K)**: 0.398 eV per atom



(14)
Computed, not measured: a relaxed structure of Mg4ZrTc at the GGA-PBE level of DFT.

a b c (Å): 7.7206 7.7206 7.7206
angles (deg): 90.00 90.00 90.00
Closest atoms and distances in Å follow each position.
Space group F-43m (No. 216)
One atom of each set of equivalent atoms:
1 Mg 0.1241 0.1241 0.1241 x16  6 Mg 2.71-2.75
2 Zr 0.0000 0.0000 0.5000 x4  12 Mg 3.20, 4 Tc 3.34
3 Tc 0.2500 0.2500 0.7500 x4  12 Mg 3.20, 4 Zr 3.34

Computed properties:
**ΔH_f (0 K)**: 0.303 eV per atom



(15)
Computed, not measured: a relaxed structure of Mg2ZrTc at the GGA-PBE level of DFT.

a b c (Å): 3.3837 3.3837 7.0236
angles (deg): 90.00 90.00 90.00
Closest atoms and distances in Å follow each position.
Space group P4mm (No. 99)
One atom of each set of equivalent atoms:
1 Mg 0.0000 0.0000 0.0000 x1  8 Mg 3.06-3.38, 4 Zr 3.23
2 Mg 0.5000 0.5000 0.2718 x1  4 Tc 2.90, 1 Zr 2.95, 4 Mg 3.06
3 Zr 0.5000 0.5000 0.6914 x1  4 Tc 2.73, 1 Mg 2.95
4 Tc 0.0000 0.0000 0.5056 x1  4 Zr 2.73, 4 Mg 2.90

Computed properties:
**ΔH_f (0 K)**: -0.019 eV per atom



(16)
Computed, not measured: a relaxed structure of MgZrTc at the GGA-PBE level of DFT.

a b c (Å): 2.7783 4.5112 8.7657
angles (deg): 90.00 90.00 90.00
Closest atoms and distances in Å follow each position.
Space group Imm2 (No. 44)
One atom of each set of equivalent atoms:
1 Mg 0.0000 0.0000 0.0000 x2  2 Mg 2.78, 5 Zr 2.86-3.06, 5 Tc 2.99
2 Zr 0.0000 0.0000 0.3262 x2  2 Zr 2.78, 5 Mg 2.86-3.06, 5 Tc 2.91-3.03
3 Tc 0.0000 0.0000 0.6584 x2  2 Tc 2.78, 5 Zr 2.91-3.03, 5 Mg 2.99

Computed properties:
**ΔH_f (0 K)**: 0.109 eV per atom



(17)
Computed, not measured: a relaxed structure of MgZr2Tc2 at the GGA-PBE level of DFT.

a b c (Å): 7.4742 7.4742 3.4283
angles (deg): 90.00 90.00 90.00
Closest atoms and distances in Å follow each position.
Space group P4/mbm (No. 127)
One atom of each set of equivalent atoms:
1 Mg 0.0000 0.0000 0.0000 x2  4 Tc 2.88
2 Zr 0.1561 0.3439 0.5000 x4  6 Tc 2.73-2.82
3 Tc 0.1428 0.6428 0.0000 x4  6 Zr 2.73-2.82, 2 Mg 2.88, 1 Tc 3.02

Computed properties:
**ΔH_f (0 K)**: -0.030 eV per atom



(18)
Computed, not measured: a relaxed structure of Mg2ZrTc at the GGA-PBE level of DFT.

a b c (Å): 2.8370 2.8370 9.4107
angles (deg): 90.00 90.00 90.00
Closest atoms and distances in Å follow each position.
Space group P4/mmm (No. 123)
One atom of each set of equivalent atoms:
1 Mg 0.0000 0.0000 0.2230 x2  4 Mg 2.84, 4 Tc 2.90
2 Zr 0.5000 0.5000 0.5000 x1  4 Zr 2.84
3 Tc 0.5000 0.5000 0.0000 x1  4 Tc 2.84, 8 Mg 2.90

Computed properties:
**ΔH_f (0 K)**: 0.249 eV per atom



(19)
Computed, not measured: a relaxed structure of MgZr2Tc at the GGA-PBE level of DFT.

a b c (Å): 3.3228 4.9900 9.6961
angles (deg): 90.00 90.00 90.00
Closest atoms and distances in Å follow each position.
Space group Cmm2 (No. 35)
One atom of each set of equivalent atoms:
1 Mg 0.0000 0.0000 0.0000 x2  2 Tc 2.76, 4 Mg 3.00
2 Zr 0.0000 0.0000 0.4369 x2  2 Tc 2.63
3 Zr 0.0000 0.5000 0.7186 x2  8 Zr 3.00-3.32, 2 Mg 3.19
4 Tc 0.0000 0.5000 0.2270 x2  2 Zr 2.63, 2 Mg 2.76

Computed properties:
**ΔH_f (0 K)**: 0.088 eV per atom



(20)
Computed, not measured: a relaxed structure of Mg2ZrTc at the GGA-PBE level of DFT.

a b c (Å): 3.6918 4.1977 4.8478
angles (deg): 90.00 90.00 90.00
Closest atoms and distances in Å follow each position.
Space group Pmmm (No. 47)
One atom of each set of equivalent atoms:
1 Mg 0.0000 0.0000 0.0000 x1  4 Mg 2.80, 4 Tc 3.05
2 Mg 0.5000 0.5000 0.0000 x1  4 Mg 2.80, 4 Zr 3.05
3 Zr 0.0000 0.5000 0.5000 x1  4 Tc 2.80, 4 Mg 3.05
4 Tc 0.5000 0.0000 0.5000 x1  4 Zr 2.80, 4 Mg 3.05

Computed properties:
**ΔH_f (0 K)**: 0.045 eV per atom



(21)
Computed, not measured: a relaxed structure of MgZrTc at the GGA-PBE level of DFT.

a b c (Å): 6.3631 6.3631 6.3631
angles (deg): 90.00 90.00 90.00
Closest atoms and distances in Å follow each position.
Space group F-43m (No. 216)
One atom of each set of equivalent atoms:
1 Mg 0.0000 0.0000 0.0000 x4  4 Tc 2.76
2 Zr 0.0000 0.0000 0.5000 x4  4 Tc 2.76
3 Tc 0.2500 0.2500 0.2500 x4  4 Zr 2.76, 4 Mg 2.76

Computed properties:
**ΔH_f (0 K)**: 0.443 eV per atom



(22)
Computed, not measured: a relaxed structure of Mg2ZrTc at the GGA-PBE level of DFT.

a b c (Å): 4.7334 4.7334 6.6767
angles (deg): 90.00 90.00 90.00
Closest atoms and distances in Å follow each position.
Space group I-4m2 (No. 119)
One atom of each set of equivalent atoms:
1 Mg 0.0000 0.0000 0.0000 x2  4 Tc 2.90, 4 Mg 2.90
2 Mg 0.0000 0.5000 0.2500 x2  4 Zr 2.90, 4 Mg 2.90
3 Zr 0.0000 0.0000 0.5000 x2  4 Tc 2.90, 4 Mg 2.90
4 Tc 0.0000 0.5000 0.7500 x2  4 Zr 2.90, 4 Mg 2.90

Computed properties:
**ΔH_f (0 K)**: 0.098 eV per atom



(23)
Computed, not measured: a relaxed structure of Mg2ZrTc at the GGA-PBE level of DFT.

a b c (Å): 3.5087 4.3889 9.8071
angles (deg): 90.00 90.00 90.00
Closest atoms and distances in Å follow each position.
Space group Immm (No. 71)
One atom of each set of equivalent atoms:
1 Mg 0.0000 0.0000 0.2310 x4  4 Mg 2.83, 2 Tc 2.87, 4 Zr 3.15-3.17
2 Zr 0.0000 0.5000 0.0000 x2  4 Tc 2.81
3 Tc 0.0000 0.5000 0.5000 x2  4 Zr 2.81, 4 Mg 2.87

Computed properties:
**ΔH_f (0 K)**: 0.008 eV per atom



(24)
Computed, not measured: a relaxed structure of MgZr2Tc at the GGA-PBE level of DFT.

a b c (Å): 6.0661 9.1972 2.9071
angles (deg): 90.00 106.53 90.00
Closest atoms and distances in Å follow each position.
Space group C2/m (No. 12)
One atom of each set of equivalent atoms:
1 Mg 0.0000 0.0000 0.0000 x2  4 Zr 2.91, 2 Mg 2.91, 2 Tc 3.03
2 Zr 0.2500 0.2500 0.5000 x4  2 Tc 2.91, 2 Mg 2.91, 4 Zr 2.91-3.03
3 Tc 0.0000 0.5000 0.0000 x2  4 Zr 2.91, 2 Tc 2.91, 2 Mg 3.03

Computed properties:
**ΔH_f (0 K)**: 0.114 eV per atom



(25)
Computed, not measured: a relaxed structure of Mg2ZrTc at the GGA-PBE level of DFT.

a b c (Å): 2.8283 4.6170 5.6852
angles (deg): 90.00 90.00 90.00
Closest atoms and distances in Å follow each position.
Space group Pmmm (No. 47)
One atom of each set of equivalent atoms:
1 Mg 0.0000 0.0000 0.2326 x2  3 Mg 2.64-2.83
2 Zr 0.5000 0.5000 0.5000 x1  2 Zr 2.83, 2 Tc 2.84, 8 Mg 3.10
3 Tc 0.5000 0.5000 0.0000 x1  2 Tc 2.83, 2 Zr 2.84, 8 Mg 3.01

Computed properties:
**ΔH_f (0 K)**: 0.115 eV per atom



(26)
Computed, not measured: a relaxed structure of MgZrTc at the GGA-PBE level of DFT.

a b c (Å): 3.4034 3.4034 9.8593
angles (deg): 90.00 90.00 90.00
Closest atoms and distances in Å follow each position.
Space group I4mm (No. 107)
One atom of each set of equivalent atoms:
1 Mg 0.0000 0.0000 0.0000 x2  4 Tc 2.88, 5 Zr 2.91-3.14
2 Zr 0.0000 0.0000 0.7048 x2  4 Tc 2.75, 1 Mg 2.91
3 Tc 0.0000 0.0000 0.3396 x2  4 Zr 2.75, 4 Mg 2.88

Computed properties:
**ΔH_f (0 K)**: -0.023 eV per atom



(27)
Computed, not measured: a relaxed structure of MgZr3Tc2 at the GGA-PBE level of DFT.

a b c (Å): 3.3381 3.3381 10.5341
angles (deg): 90.00 90.00 90.00
Closest atoms and distances in Å follow each position.
Space group P4/mmm (No. 123)
One atom of each set of equivalent atoms:
1 Mg 0.0000 0.0000 0.0000 x1  8 Zr 3.14, 4 Mg 3.34
2 Zr 0.5000 0.5000 0.1972 x2  4 Tc 2.79
3 Zr 0.5000 0.5000 0.5000 x1  8 Tc 2.91, 2 Zr 3.19
4 Tc 0.0000 0.0000 0.3383 x2  8 Zr 2.79-2.91

Computed properties:
**ΔH_f (0 K)**: -0.261 eV per atom



(28)
Computed, not measured: a relaxed structure of MgZr2Tc at the GGA-PBE level of DFT.

a b c (Å): 4.1048 4.1048 9.2597
angles (deg): 90.00 90.00 90.00
Closest atoms and distances in Å follow each position.
Space group I-4m2 (No. 119)
One atom of each set of equivalent atoms:
1 Mg 0.0000 0.0000 0.0000 x2  8 Zr 2.90-3.09, 4 Tc 3.09
2 Zr 0.0000 0.0000 0.5000 x2  4 Mg 2.90, 4 Zr 3.09, 4 Tc 3.09
3 Zr 0.0000 0.5000 0.2500 x2  4 Tc 2.90, 4 Zr 3.09, 4 Mg 3.09
4 Tc 0.0000 0.5000 0.7500 x2  8 Zr 2.90-3.09, 4 Mg 3.09

Computed properties:
**ΔH_f (0 K)**: 0.076 eV per atom



(29)
Computed, not measured: a relaxed structure of Mg2ZrTc at the GGA-PBE level of DFT.

a b c (Å): 2.9366 2.9366 30.4950
angles (deg): 90.00 90.00 120.00
Closest atoms and distances in Å follow each position.
Space group R-3m (No. 166, hexagonal axes)
One atom of each set of equivalent atoms:
1 Mg 0.0000 0.0000 0.2417 x6  3 Tc 2.85, 6 Mg 2.94
2 Zr 0.0000 0.0000 0.0000 x3  6 Zr 2.94, 6 Mg 3.27
3 Tc 0.0000 0.0000 0.5000 x3  6 Mg 2.85, 6 Tc 2.94

Computed properties:
**ΔH_f (0 K)**: 0.241 eV per atom



Record order is preserved below.
Total magnetic moment: 0.0 0.0 0.0 0.9 0.0 0.0 0.0 0.0 0.0 0.0 0.0 0.0 0.0 0.0 0.0 0.0 0.0 0.0 0.0 0.0 0.0 0.0 0.0 0.0 0.0 0.0 0.0 0.0 0.0 μB per formula unit